DFT (PBE-GGA) results for a relaxed BaSr2Ca crystal.

a b c (Å): 4.1160 3.9607 13.2034
angles (deg): 90.00 90.00 90.00
Last column: nearest neighbours and their distance in Å.
Fractional positions:
Ba: 0.5000 0.0000 0.0000  4 Ba 3.96-4.12, 4 Sr 4.20
Sr: 0.0000 0.0000 0.2774  4 Sr 3.96-4.12, 4 Ca 4.10, 2 Ba 4.20
Sr: 0.0000 0.0000 0.7226  4 Sr 3.96-4.12, 4 Ca 4.10, 2 Ba 4.20
Ca: 0.5000 0.5000 0.5000  4 Ca 3.96-4.12, 8 Sr 4.10

Computed properties:
SG: No. 47
energy above the lowest structure with this stoichiometry: 96 meV per atom
calculated volume: 53.8 Å³ per atom
energy: -6.8 eV per cell
energy relative to the elements: 10.9 kJ per mole of atoms


DFT (PBE-GGA) results for a relaxed Pm4Pr10Ho crystal.

a b c (Å): 7.9043 9.6977 9.6977
angles (deg): 80.44 65.95 65.95
Last column: nearest neighbours and their distance in Å.
Fractional positions:
Pm: 0.3997 0.8013 0.3994  8 Pr 3.43-3.44
Pm: 0.7991 0.6006 0.8013  8 Pr 3.43-3.44
Pm: 0.2009 0.3994 0.1987  8 Pr 3.43-3.44
Pm: 0.6003 0.1987 0.6006  8 Pr 3.43-3.44
Pr: 0.2500 0.5000 0.5000  4 Pm 3.44
Pr: 0.6529 0.2980 0.8998  1 Ho 3.41, 3 Pm 3.43
Pr: 0.0492 0.1002 0.2980  1 Ho 3.41, 3 Pm 3.43
Pr: 0.4473 0.8998 0.7020  1 Ho 3.41, 3 Pm 3.43
Pr: 0.8506 0.7020 0.1002  1 Ho 3.41, 3 Pm 3.43
Pr: 0.3471 0.7020 0.1002  1 Ho 3.41, 3 Pm 3.43
Pr: 0.7500 0.5000 0.5000  4 Pm 3.44
Pr: 0.1494 0.2980 0.8998  1 Ho 3.41, 3 Pm 3.43
Pr: 0.5527 0.1002 0.2980  1 Ho 3.41, 3 Pm 3.43
Pr: 0.9508 0.8998 0.7020  1 Ho 3.41, 3 Pm 3.43
Ho: 0.0000 0.0000 0.0000  8 Pr 3.41

Computed properties:
SG: No. 87
calculated volume: 41.3 Å³ per atom
energy: -61.0 eV per cell
energy relative to the elements: 66.6 kJ per mole of atoms


DFT (PBE-GGA) results for a relaxed LiCd2Ni2 crystal.

a b c (Å): 7.6343 7.6343 2.8446
angles (deg): 90.00 90.00 90.00
Last column: nearest neighbours and their distance in Å.
Fractional positions:
Ni: 0.1169 0.6169 0.5000  1 Ni 2.52, 6 Cd 2.64-2.70
Ni: 0.6169 0.8831 0.5000  1 Ni 2.52, 6 Cd 2.64-2.70
Ni: 0.8831 0.3831 0.5000  1 Ni 2.52, 6 Cd 2.64-2.70
Ni: 0.3831 0.1169 0.5000  1 Ni 2.52, 6 Cd 2.64-2.70
Li: 0.0000 0.0000 0.0000  4 Cd 2.81, 2 Li 2.84
Li: 0.5000 0.5000 0.0000  4 Cd 2.81, 2 Li 2.84
Cd: 0.3231 0.8231 0.0000  6 Ni 2.64-2.70, 2 Li 2.81, 2 Cd 2.84
Cd: 0.8231 0.6769 0.0000  6 Ni 2.64-2.70, 2 Li 2.81, 2 Cd 2.84
Cd: 0.6769 0.1769 0.0000  6 Ni 2.64-2.70, 2 Li 2.81, 2 Cd 2.84
Cd: 0.1769 0.3231 0.0000  6 Ni 2.64-2.70, 2 Li 2.81, 2 Cd 2.84

Computed properties:
SG: No. 127
energy above the lowest structure with this stoichiometry: 42 meV per atom
calculated volume: 16.6 Å³ per atom
energy: -30.2 eV per cell
energy relative to the elements: 3.8 kJ per mole of atoms


DFT (PBE-GGA) results for a relaxed Zr2CrAu crystal.

a b c (Å): 5.7418 5.7418 5.7418
angles (deg): 147.03 130.84 60.47
Last column: nearest neighbours and their distance in Å.
Fractional positions:
Au: 0.5201 0.5201 0.0000  2 Cr 2.75, 4 Zr 2.92
Cr: 0.7429 0.2429 0.5000  2 Au 2.75, 6 Zr 2.86-2.89
Zr: 0.9800 0.9800 0.0000  2 Cr 2.86, 4 Au 2.92, 2 Zr 3.19
Zr: 0.2570 0.7570 0.5000  4 Cr 2.89, 2 Au 3.08, 2 Zr 3.19

Computed properties:
SG: No. 44
energy above the lowest structure with this stoichiometry: 166 meV per atom
calculated volume: 19.3 Å³ per atom
energy: -30.1 eV per cell
energy relative to the elements: -2.9 kJ per mole of atoms


DFT (PBE-GGA) results for a relaxed Ti5Zn2Ga2 crystal.

a b c (Å): 7.8042 5.0284 8.8285
angles (deg): 106.55 116.23 90.00
Last column: nearest neighbours and their distance in Å.
Fractional positions:
Ti: 0.1617 0.6435 0.8234  2 Ti 2.51, 4 Zn 2.67-2.81
Ti: 0.8383 0.8201 0.1766  2 Ti 2.51, 4 Zn 2.67-2.81
Ti: 0.1617 0.1435 0.8234  2 Ti 2.51, 4 Zn 2.67-2.81
Ti: 0.8383 0.3201 0.1766  2 Ti 2.51, 4 Zn 2.67-2.81
Ti: 0.2945 0.1425 0.3215  3 Ga 2.61-2.86, 2 Zn 2.63-2.69, 1 Ti 2.68
Ti: 0.7055 0.8210 0.6785  3 Ga 2.61-2.86, 2 Zn 2.63-2.69, 1 Ti 2.68
Ti: 0.5270 0.6425 0.3215  3 Ga 2.61-2.86, 2 Zn 2.63-2.69, 1 Ti 2.68
Ti: 0.4730 0.3210 0.6785  3 Ga 2.61-2.86, 2 Zn 2.63-2.69, 1 Ti 2.68
Ti: 0.2633 0.7317 0.5000  2 Ga 2.68, 3 Zn 2.71-2.88
Ti: 0.7367 0.2317 0.5000  2 Ga 2.68, 3 Zn 2.71-2.88
Zn: 0.0000 0.9819 0.0000  6 Ti 2.63-2.67, 4 Ga 2.82
Zn: 0.5000 0.4819 0.0000  6 Ti 2.63-2.67, 4 Ga 2.82
Zn: 0.0845 0.2318 0.5000  9 Ti 2.69-2.88, 2 Zn 2.84
Zn: 0.9155 0.7318 0.5000  9 Ti 2.69-2.88, 2 Zn 2.84
Ga: 0.1500 0.5566 0.1496  1 Ga 2.54, 4 Ti 2.61-2.84, 2 Zn 2.82
Ga: 0.8500 0.4070 0.8504  1 Ga 2.54, 4 Ti 2.61-2.84, 2 Zn 2.82
Ga: 0.4997 0.0566 0.1496  1 Ga 2.54, 4 Ti 2.61-2.84, 2 Zn 2.82
Ga: 0.5003 0.9070 0.8504  1 Ga 2.54, 4 Ti 2.61-2.84, 2 Zn 2.82

Computed properties:
SG: No. 74
calculated volume: 16.4 Å³ per atom
energy: -99.2 eV per cell
energy relative to the elements: -16.6 kJ per mole of atoms


DFT (PBE-GGA) results for a relaxed Sc2Mo crystal.

a b c (Å): 4.5878 4.5878 4.5878
angles (deg): 60.00 60.00 60.00
Last column: nearest neighbours and their distance in Å.
Fractional positions:
Mo: 0.0000 0.0000 0.0000  8 Sc 2.81
Sc: 0.7500 0.7500 0.7500  4 Mo 2.81
Sc: 0.2500 0.2500 0.2500  4 Mo 2.81

Computed properties:
SG: No. 225
energy above the lowest structure with this stoichiometry: 608 meV per atom
calculated volume: 22.8 Å³ per atom
energy: -21.6 eV per cell
energy relative to the elements: 60.1 kJ per mole of atoms


DFT (PBE-GGA) results for a relaxed Li2Sn2Se5 crystal.

a b c (Å): 6.7538 6.9473 10.7768
angles (deg): 108.80 108.26 90.00
Last column: nearest neighbours and their distance in Å.
Fractional positions:
Li: 0.0000 0.9680 0.0000  6 Se 2.70-2.80
Li: 0.5000 0.4680 0.0000  6 Se 2.70-2.80
Li: 0.2703 0.3082 0.5000  4 Se 2.62-2.73
Li: 0.7297 0.8082 0.5000  4 Se 2.62-2.73
Sn: 0.1121 0.6722 0.2648  5 Se 2.63-2.78
Sn: 0.8879 0.4074 0.7352  5 Se 2.63-2.78
Sn: 0.6527 0.1722 0.2648  5 Se 2.63-2.78
Sn: 0.3473 0.9074 0.7352  5 Se 2.63-2.78
Se: 0.2357 0.6965 0.8778  2 Sn 2.69-2.77, 2 Li 2.70-2.75
Se: 0.7643 0.8187 0.1222  2 Sn 2.69-2.77, 2 Li 2.70-2.75
Se: 0.1422 0.1965 0.8778  2 Sn 2.69-2.77, 2 Li 2.70-2.75
Se: 0.8578 0.3187 0.1222  2 Sn 2.69-2.77, 2 Li 2.70-2.75
Se: 0.2847 0.0372 0.2668  2 Li 2.64-2.80, 2 Sn 2.67-2.78
Se: 0.7153 0.7703 0.7332  2 Li 2.64-2.80, 2 Sn 2.67-2.78
Se: 0.4821 0.5372 0.2668  2 Li 2.64-2.80, 2 Sn 2.67-2.78
Se: 0.5179 0.2703 0.7332  2 Li 2.64-2.80, 2 Sn 2.67-2.78
Se: 0.0849 0.6575 0.5000  2 Li 2.62-2.73, 2 Sn 2.63
Se: 0.9151 0.1575 0.5000  2 Li 2.62-2.73, 2 Sn 2.63

Computed properties:
SG: No. 46
energy above the lowest structure with this stoichiometry: 0 meV per atom
calculated volume: 25.1 Å³ per atom
ΔE_f (raw): -0.545 eV per atom
energy: -68.3 eV per cell


DFT (PBE-GGA) results for a relaxed KLaGa2Te crystal.

a b c (Å): 5.7938 7.5669 5.7938
angles (deg): 90.00 90.00 90.00
Last column: nearest neighbours and their distance in Å.
Fractional positions:
K: 0.0000 0.5000 0.0000  2 La 3.78, 4 Te 4.10
Te: 0.5000 0.5000 0.5000  4 K 4.10
Ga: 0.0000 0.0000 0.5000  2 La 2.90
Ga: 0.5000 0.0000 0.0000  2 La 2.90
La: 0.0000 0.0000 0.0000  4 Ga 2.90

Computed properties:
SG: No. 123
calculated volume: 50.8 Å³ per atom
ΔE_f (raw): 0.577 eV per atom
energy: -12.3 eV per cell


DFT (PBE-GGA) results for a relaxed KCdTc2 crystal.

a b c (Å): 2.7165 4.9259 7.1136
angles (deg): 90.00 90.00 90.00
Last column: nearest neighbours and their distance in Å.
Fractional positions:
Cd: 0.5000 0.5000 0.2500  2 Cd 2.72, 8 Tc 3.02
K: 0.5000 0.5000 0.7500  2 K 2.72
Tc: 0.0000 0.0000 0.0945  1 Tc 2.21
Tc: 0.0000 0.0000 0.4055  1 Tc 2.21

Computed properties:
SG: No. 47
calculated volume: 23.8 Å³ per atom
energy: -19.2 eV per cell
energy relative to the elements: 86.0 kJ per mole of atoms


DFT (PBE-GGA) results for a relaxed AcPm3Y crystal.

a b c (Å): 5.9638 7.2903 8.9515
angles (deg): 90.00 109.42 90.00
Last column: nearest neighbours and their distance in Å.
Fractional positions:
Ac: 0.3886 0.2500 0.7783  2 Y 3.56, 9 Pm 3.65-3.91
Ac: 0.6114 0.7500 0.2217  2 Y 3.56, 9 Pm 3.65-3.91
Pm: 0.1907 0.0018 0.3809  7 Pm 3.60-3.68, 2 Y 3.63-3.76, 3 Ac 3.75-3.81
Pm: 0.8093 0.5018 0.6191  7 Pm 3.60-3.68, 2 Y 3.63-3.76, 3 Ac 3.75-3.81
Pm: 0.8093 0.9982 0.6191  7 Pm 3.60-3.68, 2 Y 3.63-3.76, 3 Ac 3.75-3.81
Pm: 0.1907 0.4982 0.3809  7 Pm 3.60-3.68, 2 Y 3.63-3.76, 3 Ac 3.75-3.81
Pm: 0.6204 0.2500 0.2417  2 Y 3.57-3.58, 3 Ac 3.65-3.91, 6 Pm 3.68
Pm: 0.3796 0.7500 0.7583  2 Y 3.57-3.58, 3 Ac 3.65-3.91, 6 Pm 3.68
Y: 0.9966 0.7500 0.9916  2 Ac 3.56, 6 Pm 3.57-3.76, 2 Y 3.65
Y: 0.0034 0.2500 0.0084  2 Ac 3.56, 6 Pm 3.57-3.76, 2 Y 3.65

Computed properties:
SG: No. 11
energy above the lowest structure with this stoichiometry: 85 meV per atom
calculated volume: 36.7 Å³ per atom
energy: -48.4 eV per cell
energy relative to the elements: 12.2 kJ per mole of atoms


DFT (PBE-GGA) results for a relaxed Nb2BiRu2 crystal.

a b c (Å): 7.7387 7.7387 3.0631
angles (deg): 90.00 90.00 90.00
Last column: nearest neighbours and their distance in Å.
Fractional positions:
Ru: 0.3667 0.8667 0.0000  6 Nb 2.70-2.80, 1 Ru 2.92, 2 Bi 3.02
Ru: 0.8667 0.6333 0.0000  6 Nb 2.70-2.80, 1 Ru 2.92, 2 Bi 3.02
Ru: 0.6333 0.1333 0.0000  6 Nb 2.70-2.80, 1 Ru 2.92, 2 Bi 3.02
Ru: 0.1333 0.3667 0.0000  6 Nb 2.70-2.80, 1 Ru 2.92, 2 Bi 3.02
Nb: 0.1530 0.6530 0.5000  6 Ru 2.70-2.80
Nb: 0.6530 0.8470 0.5000  6 Ru 2.70-2.80
Nb: 0.8470 0.3470 0.5000  6 Ru 2.70-2.80
Nb: 0.3470 0.1530 0.5000  6 Ru 2.70-2.80
Bi: 0.0000 0.0000 0.0000  4 Ru 3.02, 2 Bi 3.06, 8 Nb 3.31
Bi: 0.5000 0.5000 0.0000  4 Ru 3.02, 2 Bi 3.06, 8 Nb 3.31

Computed properties:
SG: No. 127
energy above the lowest structure with this stoichiometry: 0 meV per atom
calculated volume: 18.3 Å³ per atom
energy: -85.2 eV per cell
energy relative to the elements: -0.2 kJ per mole of atoms


Number 1: magnetic moment 0.000 μB/f.u.. Number 2: magnetic moment 0.000 μB/f.u.. Number 3: magnetic moment 0.000 μB/f.u.. Number 4: magnetic moment 2.111 μB/f.u.. Number 5: magnetic moment 0.887 μB/f.u.. Number 6: magnetic moment 0.000 μB/f.u.. Number 7: magnetic moment 0.000 μB/f.u.. Number 8: magnetic moment 0.000 μB/f.u.. Number 9: magnetic moment 0.005 μB/f.u.. Number 10: magnetic moment 0.000 μB/f.u.. Number 11: magnetic moment 0.000 μB/f.u..